1.
## LaBiPd4 (PBE-GGA)

Data for a relaxed structure of LaBiPd4.

Values from the calculation:
Density of states at the Fermi level: 6.80 states/eV per cell
Energy above the most stable polymorph in this dataset: 0 meV/atom
Total magnetic moment: 0.0 Bohr magnetons per cell
Energy of formation: -563 meV/atom

Cell lengths 5.527, 5.527, 5.527 Å; angles 60.00, 60.00, 60.00 degrees
Sites, in units of the cell vectors:
La 0.000 0.000 0.000
Bi 0.250 0.250 0.250
Pd 0.125 0.625 0.625
Pd 0.625 0.125 0.625
Pd 0.625 0.625 0.125
Pd 0.625 0.625 0.625

=====

2.
## ZnHg2Au (PBE-GGA)

Data for a relaxed structure of ZnHg2Au.

Values from the calculation:
Density of states at the Fermi level: 0.86 states/eV per cell
Total magnetic moment: 0.0 Bohr magnetons per cell
Energy of formation: 31 meV/atom

Cell lengths 2.862, 3.687, 8.049 Å; angles 90.00, 90.00, 90.00 degrees
Sites, in units of the cell vectors:
Zn 0.000 0.000 0.000
Hg 0.000 0.000 0.439
Hg 0.500 0.500 0.740
Au 0.500 0.500 0.173

=====

3.
## PrNdZnCo (PBE-GGA)

Data for a relaxed structure of PrNdZnCo.

Values from the calculation:
Density of states at the Fermi level: 8.31 states/eV per cell
Energy above the most stable polymorph in this dataset: 0 meV/atom
Total magnetic moment: 0.0 Bohr magnetons per cell
Energy of formation: -136 meV/atom

Cell lengths 4.393, 3.972, 11.054 Å; angles 90.00, 90.00, 90.00 degrees
Sites, in units of the cell vectors:
Pr 0.000 0.000 0.000
Pr 0.000 0.500 0.500
Nd 0.500 0.000 0.277
Nd 0.500 0.500 0.777
Zn 0.500 0.000 0.574
Zn 0.500 0.500 0.074
Co 0.000 0.000 0.692
Co 0.000 0.500 0.192

=====

4.
## ScReAs (PBE-GGA)

Data for a relaxed structure of ScReAs.

Values from the calculation:
Density of states at the Fermi level: 1.08 states/eV per cell
Energy above the most stable polymorph in this dataset: 178 meV/atom
Total magnetic moment: 0.0 Bohr magnetons per cell
Energy of formation: -121 meV/atom

Cell lengths 3.282, 3.282, 5.841 Å; angles 90.00, 90.00, 120.00 degrees
Sites, in units of the cell vectors:
Sc 0.000 0.000 0.000
Re 0.333 0.667 0.640
As 0.667 0.333 0.361